Tb2DyPd2PtPb3: relaxed, GGA-PBE.

Geometry as extended XYZ:
```
9
Lattice="3.953 0.000 0.000 0.000 6.743 3.897 0.000 -6.743 3.897" Properties=species:S:1:pos:R:3 pbc="T T T"
Tb 0.000 -4.052 3.897
Tb 0.000 4.052 3.897
Dy 0.000 0.000 3.129
Pd 1.976 -2.243 2.343
Pd 1.976 2.243 2.343
Pt 0.000 0.000 6.234
Pb 1.976 0.000 0.528
Pb 1.976 -1.801 5.195
Pb 1.976 1.801 5.195
```

Properties
Total energy (eV per atom): -5.35
Symmetry: Amm2, No. 38